# K3AgTe3S8

K3AgTe3S8 after structural relaxation (PBE, the Alexandria database).

The value obtained for the formation energy from raw total energies is -0.32 eV/atom. As for the volume: 27.232 Å³/atom. The spin magnetization comes out at 0.00 μB per cell.

```
data_K3AgTe3S8
_chemical_formula_sum 'K6 Ag2 Te6 S16'
_space_group_name_H-M_alt 'C 1 2/m 1'
_space_group_IT_number 12
_space_group_name_Hall '-C 2y'
_cell_length_a 13.9947
_cell_length_b 7.8762
_cell_length_c 8.7972
_cell_angle_alpha 90.00
_cell_angle_beta 122.59
_cell_angle_gamma 90.00
loop_
_atom_site_label
_atom_site_type_symbol
_atom_site_fract_x
_atom_site_fract_y
_atom_site_fract_z
K1 K 0.0000 0.0000 0.0000
K2 K 0.2500 0.2500 0.0000
Ag1 Ag 0.0000 0.0000 0.5000
Te1 Te 0.0000 0.5000 0.5000
Te2 Te 0.2500 0.2500 0.5000
S1 S 0.0208 0.2491 0.3122
S2 S 0.2340 0.5000 0.7021
S3 S 0.2458 0.5000 0.2914
```